(1)
Compound: Tm4Ir3Pt
Source: Alexandria
Functional: PBE-GGA
Structure: relaxed

a = 4.7323 Å, b = 6.9884 Å, c = 9.4641 Å
α = 90.00°, β = 90.00°, γ = 90.00°
Closest atoms and distances in Å follow each position.
Element x y z (fractional)
1 Tm 0.5000 0.7511 0.0000  6 Ir 2.94-2.95, 2 Pt 2.95
2 Tm 0.5000 0.7511 0.5000  6 Ir 2.94-2.95, 2 Pt 2.95
3 Tm 0.5000 0.2489 0.0000  6 Ir 2.94-2.95, 2 Pt 2.95
4 Tm 0.5000 0.2489 0.5000  6 Ir 2.94-2.95, 2 Pt 2.95
5 Tm 0.0000 0.7511 0.7500  6 Ir 2.94-2.95, 2 Pt 2.95
6 Tm 0.0000 0.7511 0.2500  6 Ir 2.94-2.95, 2 Pt 2.95
7 Tm 0.0000 0.2489 0.2500  6 Ir 2.94-2.95, 2 Pt 2.95
8 Tm 0.0000 0.2489 0.7500  6 Ir 2.94-2.95, 2 Pt 2.95
9 Pt 0.0000 0.5000 0.0000  8 Tm 2.95
10 Pt 0.0000 0.5000 0.5000  8 Tm 2.95
11 Ir 0.0000 0.0000 0.0000  8 Tm 2.94
12 Ir 0.0000 0.0000 0.5000  8 Tm 2.94
13 Ir 0.5001 0.0000 0.7500  8 Tm 2.94
14 Ir 0.4999 0.0000 0.2500  8 Tm 2.94
15 Ir 0.4998 0.5000 0.7500  8 Tm 2.95
16 Ir 0.5002 0.5000 0.2500  8 Tm 2.95

As for the formation energy: -8.09 eV per formula unit. For the density of states at the Fermi level, the calculation gives 6.22 states/eV/cell. Its mass density is 15.36 Mg/m³. As for the space group: P4/mmm.

(2)
Compound: Pm4PaTe5
Source: Alexandria
Functional: PBE-GGA
Structure: relaxed

a = 4.3936 Å, b = 4.3936 Å, c = 18.7278 Å
α = 83.26°, β = 83.26°, γ = 60.00°
Closest atoms and distances in Å follow each position.
Element x y z (fractional)
1 Pm 0.8983 0.8983 0.3050  6 Te 3.12-3.18
2 Pm 0.3004 0.3004 0.0989  6 Te 3.13-3.17
3 Pm 0.6996 0.6996 0.9011  6 Te 3.13-3.17
4 Pm 0.1017 0.1017 0.6950  6 Te 3.12-3.18
5 Pa 0.5000 0.5000 0.5000  6 Te 3.11
6 Te 0.4006 0.4006 0.7982  6 Pm 3.17-3.18
7 Te 0.0000 0.0000 0.0000  6 Pm 3.13
8 Te 0.5994 0.5994 0.2018  6 Pm 3.17-3.18
9 Te 0.8010 0.8010 0.5969  3 Pa 3.11, 3 Pm 3.12
10 Te 0.1990 0.1990 0.4031  3 Pa 3.11, 3 Pm 3.12

For the density of states at the Fermi level, the calculation gives 10.42 states/eV/cell. Its mass density is 7.76 Mg/m³. As for the space group: R-3m. Its calculated total energy is -5.66 eV per atom.

(3)
Compound: CsNpGa2Cl8
Source: Alexandria
Functional: PBE-GGA
Structure: relaxed

a = 6.7787 Å, b = 7.2069 Å, c = 9.6506 Å
α = 75.83°, β = 89.73°, γ = 85.28°
Closest atoms and distances in Å follow each position.
Element x y z (fractional)
1 Cs 0.0000 0.0000 0.5000  6 Cl 3.55-3.63
2 Np 0.0000 0.0000 0.0000  6 Cl 2.50-2.60
3 Ga 0.4794 0.4414 0.7059  2 Cl 2.60-2.63
4 Ga 0.5206 0.5586 0.2941  2 Cl 2.60-2.63
5 Cl 0.1105 0.7414 0.2304  1 Np 2.60
6 Cl 0.7118 0.8154 0.9756  1 Np 2.50
7 Cl 0.7992 0.1879 0.1502  1 Np 2.53
8 Cl 0.8895 0.2586 0.7696  1 Np 2.60
9 Cl 0.2882 0.1846 0.0244  1 Np 2.50
10 Cl 0.2008 0.8121 0.8498  1 Np 2.53
11 Cl 0.5722 0.7297 0.4976  2 Ga 2.60-2.63
12 Cl 0.4278 0.2703 0.5024  2 Ga 2.60-2.63

For the density of states at the Fermi level, the calculation gives 9.55 states/eV/cell. Its mass density is 2.89 Mg/m³. As for the space group: P-1. Its calculated total energy is -4.20 eV per atom.